Model w:
First-principles (PBE with a Hubbard U) data for a relaxed structure of AlCo3O, as listed in the Alexandria database.

Unit cell a=4.310 b=4.310 c=4.310 alpha=90.00 beta=90.00 gamma=90.00
Site moments in Bohr magnetons follow the coordinates.
Fractional positions:
Al1 0.000 0.000 0.000  -0.06
Co1 0.000 0.500 0.000  1.79
O1 0.500 0.500 0.500  0.39
Co2 0.000 0.000 0.500  1.79
Co3 0.500 0.000 0.000  1.82

## Properties
Fermi-level density of states: 2.99 states/eV/f.u.
total magnetization: 5.6 Bohr magnetons per cell

***

Model x:
First-principles (PBE with a Hubbard U) data for a relaxed structure of AlCo3O, as listed in the Alexandria database.

Unit cell a=3.826 b=3.826 c=3.826 alpha=90.00 beta=90.00 gamma=90.00
Site moments in Bohr magnetons follow the coordinates.
Fractional positions:
Co1 0.000 0.000 0.500  1.08
Al1 0.500 0.500 0.500  -0.03
Co2 0.500 0.000 0.000  1.82
O1 0.000 0.000 0.000  0.15
Co3 0.000 0.500 0.000  1.48

## Properties
Fermi-level density of states: 0.53 states/eV/f.u.
total magnetization: 4.1 Bohr magnetons per cell

***

Most favorable first, least favorable last: model x, model w